Density functional theory data (PBE-GGA) for an optimized crystal structure of Rb4Na3NpF12.

Lattice parameters (Å, degrees): 7.8203 7.8203 7.8203 109.47 109.47 109.47
Last column: nearest neighbours and their distance in Å.
Element x y z (fractional)
Rb: 0.0000 0.0000 0.5000  12 F 3.19-3.20
Rb: 0.0000 0.5000 0.0000  12 F 3.19-3.20
Rb: 0.5000 0.0000 0.0000  12 F 3.19-3.20
Rb: 0.5000 0.5000 0.5000  12 F 3.19-3.20
Na: 0.0000 0.5000 0.5000  6 F 2.26-2.43
Na: 0.5000 0.0000 0.5000  6 F 2.26-2.43
Na: 0.5000 0.5000 0.0000  6 F 2.26-2.43
Np: 0.0000 0.0000 0.0000  6 F 2.09
F: 0.0000 0.2314 0.2314  1 Np 2.09
F: 0.0000 0.7686 0.7686  1 Np 2.09
F: 0.2314 0.0000 0.2314  1 Np 2.09
F: 0.2314 0.2314 0.0000  1 Np 2.09
F: 0.2500 0.5000 0.7500  2 Na 2.26
F: 0.2500 0.7500 0.5000  2 Na 2.26
F: 0.5000 0.2500 0.7500  2 Na 2.26
F: 0.5000 0.7500 0.2500  2 Na 2.26
F: 0.7500 0.2500 0.5000  2 Na 2.26
F: 0.7500 0.5000 0.2500  2 Na 2.26
F: 0.7686 0.0000 0.7686  1 Np 2.09
F: 0.7686 0.7686 0.0000  1 Np 2.09

Total moment: 2.9 μB per formula unit
Raw formation energy: -2.81 eV per atom
D(E_F): 28.28 states/eV/f.u.
Symmetry: Im-3m